# 1
The following is a GGA-PBE calculation of a geometry-optimized ZnH4SeO6 structure, from Alexandria.

Lattice parameters (Å, degrees): 9.138 10.446 10.543 90.00 90.00 90.00
Sites, in units of the cell vectors:
Zn1 0.161 0.170 0.131
Zn2 0.161 0.330 0.631
Zn3 0.339 0.670 0.131
Zn4 0.339 0.830 0.631
Zn5 0.661 0.170 0.369
Zn6 0.661 0.330 0.869
Zn7 0.839 0.670 0.369
Zn8 0.839 0.830 0.869
H1 0.138 0.576 0.967
H2 0.138 0.924 0.467
H3 0.172 0.585 0.322
H4 0.172 0.915 0.822
H5 0.191 0.171 0.372
H6 0.191 0.329 0.872
H7 0.197 0.030 0.564
H8 0.197 0.470 0.064
H9 0.303 0.530 0.564
H10 0.303 0.970 0.064
H11 0.309 0.671 0.372
H12 0.309 0.829 0.872
H13 0.328 0.085 0.322
H14 0.328 0.415 0.822
H15 0.362 0.076 0.967
H16 0.362 0.424 0.467
H17 0.638 0.576 0.533
H18 0.638 0.924 0.033
H19 0.672 0.585 0.178
H20 0.672 0.915 0.678
H21 0.691 0.171 0.128
H22 0.691 0.329 0.628
H23 0.697 0.030 0.936
H24 0.697 0.470 0.436
H25 0.803 0.530 0.936
H26 0.803 0.970 0.436
H27 0.809 0.671 0.128
H28 0.809 0.829 0.628
H29 0.828 0.085 0.178
H30 0.828 0.415 0.678
H31 0.862 0.076 0.533
H32 0.862 0.424 0.033
Se1 0.028 0.639 0.651
Se2 0.028 0.861 0.151
Se3 0.472 0.139 0.651
Se4 0.472 0.361 0.151
Se5 0.528 0.639 0.849
Se6 0.528 0.861 0.349
Se7 0.972 0.139 0.849
Se8 0.972 0.361 0.349
O1 0.002 0.697 0.798
O2 0.002 0.803 0.298
O3 0.004 0.519 0.357
O4 0.004 0.981 0.857
O5 0.089 0.215 0.948
O6 0.089 0.285 0.448
O7 0.164 0.561 0.056
O8 0.164 0.939 0.556
O9 0.203 0.663 0.607
O10 0.203 0.837 0.107
O11 0.223 0.106 0.308
O12 0.223 0.394 0.808
O13 0.277 0.606 0.308
O14 0.277 0.894 0.808
O15 0.297 0.163 0.607
O16 0.297 0.337 0.107
O17 0.336 0.061 0.056
O18 0.336 0.439 0.556
O19 0.411 0.715 0.948
O20 0.411 0.785 0.448
O21 0.496 0.019 0.357
O22 0.496 0.481 0.857
O23 0.498 0.197 0.798
O24 0.498 0.303 0.298
O25 0.502 0.697 0.702
O26 0.502 0.803 0.202
O27 0.504 0.519 0.143
O28 0.504 0.981 0.643
O29 0.589 0.215 0.552
O30 0.589 0.285 0.052
O31 0.664 0.561 0.444
O32 0.664 0.939 0.944
O33 0.703 0.663 0.893
O34 0.703 0.837 0.393
O35 0.723 0.106 0.192
O36 0.723 0.394 0.692
O37 0.777 0.606 0.192
O38 0.777 0.894 0.692
O39 0.797 0.163 0.893
O40 0.797 0.337 0.393
O41 0.836 0.061 0.444
O42 0.836 0.439 0.944
O43 0.911 0.715 0.552
O44 0.911 0.785 0.052
O45 0.996 0.019 0.143
O46 0.996 0.481 0.643
O47 0.998 0.197 0.702
O48 0.998 0.303 0.202

Results
Its electronic total energy is -4.974 eV per atom. The density of states at the Fermi level comes out at 0.000 states/eV/f.u. As for the crystal system: orthorhombic.

---

# 2
The following is a GGA-PBE calculation of a geometry-optimized Mo5Ir structure, from Alexandria.

Lattice parameters (Å, degrees): 4.405 13.228 3.230 90.00 90.00 90.00
Sites, in units of the cell vectors:
Mo1 0.000 0.000 0.000
Mo2 0.000 0.161 0.500
Mo3 0.000 0.329 0.000
Mo4 0.000 0.671 0.000
Mo5 0.000 0.839 0.500
Mo6 0.500 0.171 0.000
Mo7 0.500 0.339 0.500
Mo8 0.500 0.500 0.000
Mo9 0.500 0.661 0.500
Mo10 0.500 0.829 0.000
Ir1 0.000 0.500 0.500
Ir2 0.500 0.000 0.500

Results
Its electronic total energy is -10.444 eV per atom. For the energy above the most stable polymorph in this dataset, the calculation gives 0.0000 eV per atom. The density of states at the Fermi level comes out at 7.392 states/eV/f.u. The calculation puts the formation energy at 0.0584 eV per atom. As for the crystal system: orthorhombic.

---

# 3
The following is a GGA-PBE calculation of a geometry-optimized KZnW4 structure, from Alexandria.

Lattice parameters (Å, degrees): 5.461 5.461 5.461 60.00 60.00 60.00
Sites, in units of the cell vectors:
K1 0.000 0.000 0.000
Zn1 0.250 0.250 0.250
W1 0.123 0.626 0.626
W2 0.626 0.123 0.626
W3 0.626 0.626 0.123
W4 0.626 0.626 0.626

Results
Its electronic total energy is -7.795 eV per atom. The density of states at the Fermi level comes out at 6.245 states/eV/f.u. The calculation puts the formation energy at 1.2359 eV per atom. As for the crystal system: cubic.

---

# 4
The following is a GGA-PBE calculation of a geometry-optimized AcHg2Br6 structure, from Alexandria.

Lattice parameters (Å, degrees): 8.668 8.668 8.668 53.46 53.46 53.46
Sites, in units of the cell vectors:
Ac1 0.000 0.000 0.000
Hg1 0.602 0.602 0.602
Hg2 0.730 0.730 0.730
Br1 0.083 0.779 0.396
Br2 0.220 0.612 0.904
Br3 0.396 0.083 0.779
Br4 0.612 0.904 0.220
Br5 0.779 0.396 0.083
Br6 0.904 0.220 0.612

Results
Its electronic total energy is -2.645 eV per atom. The density of states at the Fermi level comes out at 6.820 states/eV/f.u. As for the crystal system: trigonal.

---

# 5
The following is a GGA-PBE calculation of a geometry-optimized Si2SbAu2 structure, from Alexandria.

Lattice parameters (Å, degrees): 7.833 7.833 3.182 90.00 90.00 90.00
Sites, in units of the cell vectors:
Si1 0.182 0.318 0.000
Si2 0.318 0.818 0.000
Si3 0.682 0.182 0.000
Si4 0.818 0.682 0.000
Sb1 0.000 0.000 0.000
Sb2 0.500 0.500 0.000
Au1 0.126 0.626 0.500
Au2 0.374 0.126 0.500
Au3 0.626 0.874 0.500
Au4 0.874 0.374 0.500

Results
Its electronic total energy is -3.977 eV per atom. For the energy above the most stable polymorph in this dataset, the calculation gives 0.1304 eV per atom. The density of states at the Fermi level comes out at 2.269 states/eV/f.u. As for the crystal system: tetragonal.

---

# 6
The following is a GGA-PBE calculation of a geometry-optimized SrZrAs structure, from Alexandria.

Lattice parameters (Å, degrees): 4.637 4.637 4.699 90.00 90.00 120.00
Sites, in units of the cell vectors:
Sr1 0.000 0.000 0.000
Zr1 0.333 0.667 0.500
As1 0.667 0.333 0.500

Results
Its electronic total energy is -5.341 eV per atom. The density of states at the Fermi level comes out at 4.922 states/eV/f.u. The calculation puts the formation energy at -0.3813 eV per atom. As for the crystal system: hexagonal.

---

# 7
The following is a GGA-PBE calculation of a geometry-optimized La2PrZr structure, from Alexandria.

Lattice parameters (Å, degrees): 5.059 5.059 5.035 90.00 90.00 90.00
Sites, in units of the cell vectors:
La1 0.000 0.500 0.000
La2 0.500 0.000 0.000
Pr1 0.000 0.000 0.500
Zr1 0.500 0.500 0.500

Results
Its electronic total energy is -5.648 eV per atom. For the energy above the most stable polymorph in this dataset, the calculation gives 0.0109 eV per atom. The density of states at the Fermi level comes out at 4.847 states/eV/f.u. The calculation puts the formation energy at 0.1479 eV per atom. As for the crystal system: tetragonal.

---

# 8
The following is a GGA-PBE calculation of a geometry-optimized Cr2InAg structure, from Alexandria.

Lattice parameters (Å, degrees): 4.038 4.187 8.173 90.00 90.00 90.00
Sites, in units of the cell vectors:
Cr1 0.000 0.000 0.000
Cr2 0.000 0.500 0.261
Cr3 0.500 0.000 0.761
Cr4 0.500 0.500 0.500
In1 0.000 0.500 0.754
In2 0.500 0.000 0.254
Ag1 0.000 0.000 0.508
Ag2 0.500 0.500 0.008

Results
Its electronic total energy is -5.887 eV per atom. The density of states at the Fermi level comes out at 1.631 states/eV/f.u. The calculation puts the formation energy at 0.3222 eV per atom. As for the crystal system: orthorhombic.

---

# 9
The following is a GGA-PBE calculation of a geometry-optimized Li3InGa structure, from Alexandria.

Lattice parameters (Å, degrees): 4.828 4.828 4.828 90.00 90.00 90.00
Sites, in units of the cell vectors:
Li1 0.000 0.000 0.500
Li2 0.000 0.500 0.000
Li3 0.500 0.000 0.000
In1 0.500 0.500 0.500
Ga1 0.000 0.000 0.000

Results
Its electronic total energy is -2.212 eV per atom. For the energy above the most stable polymorph in this dataset, the calculation gives 0.3838 eV per atom. The density of states at the Fermi level comes out at 3.644 states/eV/f.u. The calculation puts the formation energy at 0.0898 eV per atom. As for the crystal system: cubic.

---

# 10
The following is a GGA-PBE calculation of a geometry-optimized La8TcPd3Br4 structure, from Alexandria.

Lattice parameters (Å, degrees): 9.332 9.332 9.332 54.11 54.11 54.11
Sites, in units of the cell vectors:
La1 0.233 0.233 0.233
La2 0.248 0.726 0.726
La3 0.274 0.274 0.752
La4 0.274 0.752 0.274
La5 0.726 0.248 0.726
La6 0.726 0.726 0.248
La7 0.752 0.274 0.274
La8 0.767 0.767 0.767
Tc1 0.500 0.500 0.500
Pd1 0.000 0.000 0.500
Pd2 0.000 0.500 0.000
Pd3 0.500 0.000 0.000
Br1 0.000 0.000 0.000
Br2 0.000 0.500 0.500
Br3 0.500 0.000 0.500
Br4 0.500 0.500 0.000

Results
Its electronic total energy is -5.520 eV per atom. The density of states at the Fermi level comes out at 7.455 states/eV/f.u. As for the crystal system: trigonal.

---

# 11
The following is a GGA-PBE calculation of a geometry-optimized ZnCuTe2 structure, from Alexandria.

Lattice parameters (Å, degrees): 7.814 4.008 6.504 90.00 107.86 90.00
Sites, in units of the cell vectors:
Zn1 0.000 0.000 0.000
Zn2 0.500 0.500 0.000
Cu1 0.187 0.000 0.760
Cu2 0.687 0.500 0.760
Te1 0.249 0.500 0.187
Te2 0.457 0.000 0.619
Te3 0.749 0.000 0.187
Te4 0.957 0.500 0.619

Results
Its electronic total energy is -2.983 eV per atom. For the energy above the most stable polymorph in this dataset, the calculation gives 0.1551 eV per atom. The density of states at the Fermi level comes out at 0.987 states/eV/f.u. As for the crystal system: monoclinic.

---

# 12
The following is a GGA-PBE calculation of a geometry-optimized Cu2AgWBr structure, from Alexandria.

Lattice parameters (Å, degrees): 4.549 4.549 4.676 90.00 90.00 90.00
Sites, in units of the cell vectors:
Cu1 0.000 0.500 0.000
Cu2 0.500 0.000 0.000
Ag1 0.000 0.000 0.500
W1 0.500 0.500 0.500
Br1 0.500 0.500 0.000

Results
Its electronic total energy is -3.577 eV per atom. For the energy above the most stable polymorph in this dataset, the calculation gives 0.0000 eV per atom. The density of states at the Fermi level comes out at 4.264 states/eV/f.u. As for the crystal system: tetragonal.